[1]
! ReSbPt, optimized geometry, DFT GGA-PBE; values from VASP
&SYSTEM
  ibrav = 0, nat = 3, ntyp = 3
/
ATOMIC_SPECIES
Sb 121.76 Sb.upf
Re 186.21 Re.upf
Pt 195.08 Pt.upf
CELL_PARAMETERS angstrom
-1.2693 1.9381 2.0415
-0.4423 -3.0434 0.2788
5.2522 -0.4270 3.6710
ATOMIC_POSITIONS angstrom
Sb 2.7399 -1.6640 3.2833
Re 0.7471 0.1361 2.6707
Pt 0.0535 -0.0044 0.0374
! energy above the most stable polymorph in this dataset	0.061	eV/atom
! ΔE_f (raw)	0.3975	eV/atom
! electronic total energy	-7.14	eV/atom

=====

[2]
! BaSiPb2, optimized geometry, DFT GGA-PBE; values from VASP
&SYSTEM
  ibrav = 0, nat = 4, ntyp = 3
/
ATOMIC_SPECIES
Pb 207.20 Pb.upf
Ba 137.33 Ba.upf
Si 28.09 Si.upf
CELL_PARAMETERS angstrom
4.0345 0.0000 0.0000
0.0000 4.0328 0.0000
0.0000 0.0000 7.5274
ATOMIC_POSITIONS angstrom
Pb 0.0000 0.0000 3.3617
Pb 0.0000 0.0000 0.4020
Ba 2.0172 2.0164 5.6455
Si 2.0172 2.0164 1.8818
! ΔE_f (raw)	0.0158	eV/atom
! electronic total energy	-3.67	eV/atom

=====

Q: What is the ΔE_f (raw) in the second record?
A: 0.0158 eV/atom

=====

Q: electronic total energy of number 1 (ReSbPt)?
A: -7.14 eV/atom

=====

Repeat the second record exactly.
! BaSiPb2, optimized geometry, DFT GGA-PBE; values from VASP
&SYSTEM
  ibrav = 0, nat = 4, ntyp = 3
/
ATOMIC_SPECIES
Pb 207.20 Pb.upf
Ba 137.33 Ba.upf
Si 28.09 Si.upf
CELL_PARAMETERS angstrom
4.0345 0.0000 0.0000
0.0000 4.0328 0.0000
0.0000 0.0000 7.5274
ATOMIC_POSITIONS angstrom
Pb 0.0000 0.0000 3.3617
Pb 0.0000 0.0000 0.4020
Ba 2.0172 2.0164 5.6455
Si 2.0172 2.0164 1.8818
! ΔE_f (raw)	0.0158	eV/atom
! electronic total energy	-3.67	eV/atom

=====

Q: Number 1 is which compound?
A: ReSbPt